PBE Zr2NiC, relaxed; E_tot = -8.436 eV per atom; total magnetic moment = 0.00 μB/cell
1.0
4.9096 -2.8328 0.0000
4.9096 2.8328 0.0000
-3.2996 0.0000 13.4474
Zr Ni C
12 6 6
Direct
0.0356 0.8711 0.6060
0.1289 0.9644 0.8940
0.1980 0.3636 0.0941
0.3003 0.4703 0.4060
0.3636 0.1980 0.5941
0.4703 0.3003 0.9060
0.5297 0.6997 0.0940
0.6364 0.8020 0.4059
0.6997 0.5297 0.5940
0.8020 0.6364 0.9059
0.8711 0.0356 0.1060
0.9644 0.1289 0.3940
0.0840 0.3996 0.7500
0.3996 0.0840 0.2500
0.4260 0.5740 0.2500
0.5740 0.4260 0.7500
0.6004 0.9160 0.7500
0.9160 0.6004 0.2500
0.0000 0.5000 0.5000
0.1628 0.6746 0.0000
0.3254 0.8372 0.5000
0.5000 0.0000 0.0000
0.6746 0.1628 0.5000
0.8372 0.3254 0.0000